No. 1
## Fe2SiS4 (GGA-PBE)

Data for a relaxed structure of Fe2SiS4. Values from VASP.

Quantum ESPRESSO input file:
```
&SYSTEM
  ibrav = 0, nat = 28, ntyp = 3
/
ATOMIC_SPECIES
Fe 55.84 Fe.upf
Si 28.09 Si.upf
S 32.06 S.upf
CELL_PARAMETERS angstrom
12.0187 0.0000 0.0000
0.0000 6.9053 0.0000
0.0000 0.0000 5.7286
ATOMIC_POSITIONS crystal
Fe 0.0000 0.0000 0.0000
Fe 0.0000 0.5000 0.0000
Fe 0.2417 0.2500 0.4973
Fe 0.2583 0.7500 0.9973
Fe 0.5000 0.0000 0.5000
Fe 0.5000 0.5000 0.5000
Fe 0.7417 0.2500 0.0027
Fe 0.7583 0.7500 0.5027
Si 0.0879 0.7500 0.4077
Si 0.4121 0.2500 0.9077
Si 0.5879 0.7500 0.0923
Si 0.9121 0.2500 0.5923
S 0.0764 0.2500 0.7420
S 0.0905 0.7500 0.7812
S 0.1688 0.5052 0.2499
S 0.1688 0.9948 0.2499
S 0.3312 0.0052 0.7499
S 0.3312 0.4948 0.7499
S 0.4095 0.2500 0.2812
S 0.4236 0.7500 0.2420
S 0.5764 0.2500 0.7580
S 0.5905 0.7500 0.7188
S 0.6688 0.5052 0.2501
S 0.6688 0.9948 0.2501
S 0.8312 0.0052 0.7501
S 0.8312 0.4948 0.7501
S 0.9095 0.2500 0.2188
S 0.9236 0.7500 0.2580
```

Calculated values
The space group is Pnma (62). The total energy comes out at -0.215 Ha/atom.

=====

No. 2
## FeSnS3 (GGA-PBE)

Data for a relaxed structure of FeSnS3. Values from VASP.

Quantum ESPRESSO input file:
```
&SYSTEM
  ibrav = 0, nat = 20, ntyp = 3
/
ATOMIC_SPECIES
Fe 55.84 Fe.upf
Sn 118.71 Sn.upf
S 32.06 S.upf
CELL_PARAMETERS angstrom
7.1362 0.0000 0.0000
0.0000 9.7698 0.0000
-1.7793 0.0000 6.6191
ATOMIC_POSITIONS crystal
Fe 0.1658 0.2118 0.0003
Fe 0.1658 0.2882 0.5003
Fe 0.8342 0.7118 0.4997
Fe 0.8342 0.7882 0.9997
Sn 0.3923 0.5934 0.2329
Sn 0.3923 0.9066 0.7329
Sn 0.6076 0.0934 0.2671
Sn 0.6076 0.4066 0.7671
S 0.0070 0.2211 0.6975
S 0.0070 0.2789 0.1975
S 0.2679 0.0103 0.0655
S 0.2679 0.4897 0.5655
S 0.4299 0.1750 0.5686
S 0.4299 0.3250 0.0686
S 0.5701 0.6750 0.9314
S 0.5701 0.8250 0.4314
S 0.7321 0.5103 0.4345
S 0.7321 0.9897 0.9345
S 0.9930 0.7211 0.8025
S 0.9930 0.7789 0.3025
```

Calculated values
The space group is P2_1/c (14). The total energy comes out at -0.190 Ha/atom.

=====

No. 3
## SrZnFeS3 (GGA-PBE)

Data for a relaxed structure of SrZnFeS3. Values from VASP.

Quantum ESPRESSO input file:
```
&SYSTEM
  ibrav = 0, nat = 12, ntyp = 4
/
ATOMIC_SPECIES
Sr 87.62 Sr.upf
Zn 65.41 Zn.upf
Fe 55.84 Fe.upf
S 32.06 S.upf
CELL_PARAMETERS angstrom
1.9342 -6.4593 0.0000
1.9342 6.4593 0.0000
0.0000 0.0000 9.6282
ATOMIC_POSITIONS crystal
Sr 0.2475 0.7525 0.7500
Sr 0.7525 0.2475 0.2500
Zn 0.5000 0.5000 0.0000
Zn 0.5000 0.5000 0.5000
Fe 0.0285 0.9715 0.2500
Fe 0.9715 0.0285 0.7500
S 0.1308 0.8692 0.0570
S 0.1308 0.8692 0.4430
S 0.4270 0.5730 0.2500
S 0.5730 0.4270 0.7500
S 0.8692 0.1308 0.5570
S 0.8692 0.1308 0.9430
```

Calculated values
The space group is Cmcm (63). The total energy comes out at -0.177 Ha/atom.

=====

No. 4
## Ta4FeS8 (GGA-PBE)

Data for a relaxed structure of Ta4FeS8. Values from VASP.

Quantum ESPRESSO input file:
```
&SYSTEM
  ibrav = 0, nat = 26, ntyp = 3
/
ATOMIC_SPECIES
Ta 180.95 Ta.upf
Fe 55.84 Fe.upf
S 32.06 S.upf
CELL_PARAMETERS angstrom
3.3232 -5.7623 0.0000
3.3232 5.7623 0.0000
0.0000 0.0000 12.1428
ATOMIC_POSITIONS crystal
Ta 0.0006 0.9994 0.7500
Ta 0.0117 0.5060 0.2500
Ta 0.4940 0.5060 0.2500
Ta 0.4940 0.9883 0.2500
Ta 0.5060 0.0117 0.7500
Ta 0.5060 0.4940 0.7500
Ta 0.9883 0.4940 0.7500
Ta 0.9994 0.0006 0.2500
Fe 0.0000 0.0000 0.0000
Fe 0.0000 0.0000 0.5000
S 0.1668 0.3345 0.6213
S 0.1668 0.3345 0.8787
S 0.1684 0.8316 0.6212
S 0.1684 0.8316 0.8788
S 0.3335 0.6665 0.1174
S 0.3335 0.6665 0.3826
S 0.3345 0.1668 0.1213
S 0.3345 0.1668 0.3787
S 0.6655 0.8332 0.6213
S 0.6655 0.8332 0.8787
S 0.6665 0.3335 0.6174
S 0.6665 0.3335 0.8826
S 0.8316 0.1684 0.1212
S 0.8316 0.1684 0.3788
S 0.8332 0.6655 0.1213
S 0.8332 0.6655 0.3787
```

Calculated values
The space group is Cmcm (63). The total energy comes out at -0.288 Ha/atom.